Entry 1:
# MgNi3Pd (PBE-GGA, relaxed)
data_MgNi3Pd
_chemical_formula_sum 'Mg1 Ni3 Pd1'
_cell_length_a 4.572
_cell_length_b 4.572
_cell_length_c 4.572
_cell_angle_alpha 90.00
_cell_angle_beta 90.00
_cell_angle_gamma 90.00
_symmetry_space_group_name_H-M 'P 1'
_symmetry_Int_Tables_number 1
loop_
_symmetry_equiv_pos_as_xyz
'x,y,z'
loop_
_atom_site_label
_atom_site_type_symbol
_atom_site_fract_x
_atom_site_fract_y
_atom_site_fract_z
_atom_site_occupancy
Ni1 Ni 0.000 0.500 0.000 1
Ni2 Ni 0.500 0.000 0.000 1
Ni3 Ni 0.000 0.000 0.500 1
Mg1 Mg 0.500 0.500 0.500 1
Pd1 Pd 0.000 0.000 0.000 1
# - E_form: 0.94 eV per atom
# - VASP energy: -3.88 eV/atom

---

Entry 2:
# Zr5Ga6 (PBE-GGA, relaxed)
data_Zr5Ga6
_chemical_formula_sum 'Zr5 Ga6'
_cell_length_a 5.561
_cell_length_b 6.626
_cell_length_c 7.134
_cell_angle_alpha 79.80
_cell_angle_beta 65.05
_cell_angle_gamma 65.19
_symmetry_space_group_name_H-M 'P 1'
_symmetry_Int_Tables_number 1
loop_
_symmetry_equiv_pos_as_xyz
'x,y,z'
loop_
_atom_site_label
_atom_site_type_symbol
_atom_site_fract_x
_atom_site_fract_y
_atom_site_fract_z
_atom_site_occupancy
Ga1 Ga 0.855 0.000 0.700 1
Ga2 Ga 0.002 0.275 0.808 1
Ga3 Ga 0.998 0.725 0.192 1
Ga4 Ga 0.724 0.275 0.192 1
Ga5 Ga 0.276 0.725 0.808 1
Ga6 Ga 0.145 0.000 0.300 1
Zr1 Zr 0.216 0.569 0.500 1
Zr2 Zr 0.649 0.701 0.000 1
Zr3 Zr 0.500 0.000 0.500 1
Zr4 Zr 0.784 0.431 0.500 1
Zr5 Zr 0.351 0.299 0.000 1
# - E_form: -0.44 eV per atom
# - VASP energy: -5.97 eV/atom

---

Entry 3:
# Cs2BPtCl6 (PBE-GGA, relaxed)
data_Cs2BPtCl6
_chemical_formula_sum 'Cs2 B1 Pt1 Cl6'
_cell_length_a 6.978
_cell_length_b 6.978
_cell_length_c 7.559
_cell_angle_alpha 62.51
_cell_angle_beta 62.51
_cell_angle_gamma 90.00
_symmetry_space_group_name_H-M 'P 1'
_symmetry_Int_Tables_number 1
loop_
_symmetry_equiv_pos_as_xyz
'x,y,z'
loop_
_atom_site_label
_atom_site_type_symbol
_atom_site_fract_x
_atom_site_fract_y
_atom_site_fract_z
_atom_site_occupancy
Cl1 Cl 0.295 0.705 0.000 1
Cl2 Cl 0.295 0.295 0.000 1
Cl3 Cl 0.705 0.295 0.000 1
Cl4 Cl 0.203 0.203 0.594 1
Cl5 Cl 0.797 0.797 0.406 1
Cl6 Cl 0.705 0.705 0.000 1
Cs1 Cs 0.250 0.750 0.500 1
Cs2 Cs 0.750 0.250 0.500 1
B1 B 0.500 0.500 0.000 1
Pt1 Pt 0.000 0.000 0.000 1
# - Raw formation energy: -0.8106 eV per atom
# - VASP energy: -3.36 eV/atom

---

Entry 4:
# Sc2TiPt4 (PBE-GGA, relaxed)
data_Sc2TiPt4
_chemical_formula_sum 'Sc2 Ti1 Pt4'
_cell_length_a 4.662
_cell_length_b 4.662
_cell_length_c 8.555
_cell_angle_alpha 60.77
_cell_angle_beta 60.77
_cell_angle_gamma 54.13
_symmetry_space_group_name_H-M 'P 1'
_symmetry_Int_Tables_number 1
loop_
_symmetry_equiv_pos_as_xyz
'x,y,z'
loop_
_atom_site_label
_atom_site_type_symbol
_atom_site_fract_x
_atom_site_fract_y
_atom_site_fract_z
_atom_site_occupancy
Ti1 Ti 0.000 0.000 0.000 1
Pt1 Pt 0.837 0.837 0.371 1
Pt2 Pt 0.611 0.611 0.104 1
Pt3 Pt 0.163 0.163 0.629 1
Pt4 Pt 0.389 0.389 0.896 1
Sc1 Sc 0.192 0.192 0.283 1
Sc2 Sc 0.808 0.808 0.717 1
# - E_form: -1.02 eV per atom
# - VASP energy: -7.41 eV/atom

---

Entry 5:
# TaRu (PBE-GGA, relaxed)
data_TaRu
_chemical_formula_sum 'Ta6 Ru6'
_cell_length_a 14.281
_cell_length_b 3.044
_cell_length_c 4.546
_cell_angle_alpha 90.00
_cell_angle_beta 90.00
_cell_angle_gamma 90.00
_symmetry_space_group_name_H-M 'P 1'
_symmetry_Int_Tables_number 1
loop_
_symmetry_equiv_pos_as_xyz
'x,y,z'
loop_
_atom_site_label
_atom_site_type_symbol
_atom_site_fract_x
_atom_site_fract_y
_atom_site_fract_z
_atom_site_occupancy
Ru1 Ru 0.826 0.493 0.820 1
Ru2 Ru 0.500 0.889 0.605 1
Ru3 Ru 0.326 0.507 0.320 1
Ru4 Ru 0.174 0.493 0.820 1
Ru5 Ru 0.000 0.111 0.105 1
Ru6 Ru 0.674 0.507 0.320 1
Ta1 Ta 0.668 0.994 0.827 1
Ta2 Ta 0.000 0.594 0.603 1
Ta3 Ta 0.500 0.406 0.103 1
Ta4 Ta 0.332 0.994 0.827 1
Ta5 Ta 0.168 0.006 0.327 1
Ta6 Ta 0.832 0.006 0.327 1
# - E_form: -0.15 eV per atom
# - VASP energy: -10.71 eV/atom

---

Entry 6:
# Ba2LaBr (PBE-GGA, relaxed)
data_Ba2LaBr
_chemical_formula_sum 'Ba2 La1 Br1'
_cell_length_a 8.318
_cell_length_b 8.318
_cell_length_c 8.318
_cell_angle_alpha 145.11
_cell_angle_beta 145.11
_cell_angle_gamma 50.17
_symmetry_space_group_name_H-M 'P 1'
_symmetry_Int_Tables_number 1
loop_
_symmetry_equiv_pos_as_xyz
'x,y,z'
loop_
_atom_site_label
_atom_site_type_symbol
_atom_site_fract_x
_atom_site_fract_y
_atom_site_fract_z
_atom_site_occupancy
Ba1 Ba 0.000 0.000 0.000 1
Ba2 Ba 0.250 0.750 0.500 1
La1 La 0.750 0.250 0.500 1
Br1 Br 0.500 0.500 0.000 1
# - Raw formation energy: -0.2372 eV per atom
# - VASP energy: -2.85 eV/atom

---

Entry 7:
# La4GaPd (PBE-GGA, relaxed)
data_La4GaPd
_chemical_formula_sum 'La8 Ga2 Pd2'
_cell_length_a 5.470
_cell_length_b 7.275
_cell_length_c 9.718
_cell_angle_alpha 90.00
_cell_angle_beta 115.56
_cell_angle_gamma 90.00
_symmetry_space_group_name_H-M 'P 1'
_symmetry_Int_Tables_number 1
loop_
_symmetry_equiv_pos_as_xyz
'x,y,z'
loop_
_atom_site_label
_atom_site_type_symbol
_atom_site_fract_x
_atom_site_fract_y
_atom_site_fract_z
_atom_site_occupancy
Ga1 Ga 0.686 0.750 0.918 1
Ga2 Ga 0.314 0.250 0.082 1
La1 La 0.904 0.021 0.222 1
La2 La 0.096 0.521 0.778 1
La3 La 0.389 0.750 0.556 1
La4 La 0.333 0.750 0.119 1
La5 La 0.611 0.250 0.444 1
La6 La 0.096 0.979 0.778 1
La7 La 0.667 0.250 0.881 1
La8 La 0.904 0.479 0.222 1
Pd1 Pd 0.782 0.750 0.442 1
Pd2 Pd 0.218 0.250 0.558 1
# - E_form: -0.44 eV per atom
# - VASP energy: -5.09 eV/atom

---

Entry 8:
# K3YEr2Se6 (PBE-GGA, relaxed)
data_K3YEr2Se6
_chemical_formula_sum 'K3 Y1 Er2 Se6'
_cell_length_a 7.261
_cell_length_b 7.261
_cell_length_c 8.050
_cell_angle_alpha 98.65
_cell_angle_beta 98.65
_cell_angle_gamma 120.00
_symmetry_space_group_name_H-M 'P 1'
_symmetry_Int_Tables_number 1
loop_
_symmetry_equiv_pos_as_xyz
'x,y,z'
loop_
_atom_site_label
_atom_site_type_symbol
_atom_site_fract_x
_atom_site_fract_y
_atom_site_fract_z
_atom_site_occupancy
Y1 Y 0.000 0.000 0.000 1
Se1 Se 0.732 0.732 0.204 1
Se2 Se 0.596 0.932 0.796 1
Se3 Se 0.068 0.404 0.204 1
Se4 Se 0.268 0.268 0.796 1
Se5 Se 0.404 0.068 0.204 1
Se6 Se 0.932 0.596 0.796 1
K1 K 0.166 0.834 0.500 1
K2 K 0.834 0.166 0.500 1
K3 K 0.500 0.500 0.500 1
Er1 Er 0.667 0.333 0.000 1
Er2 Er 0.333 0.667 0.000 1
# - Raw formation energy: -1.7630 eV per atom
# - VASP energy: -5.08 eV/atom

---

Entry 9:
# CdGaPbAu (PBE-GGA, relaxed)
data_CdGaPbAu
_chemical_formula_sum 'Cd1 Ga1 Pb1 Au1'
_cell_length_a 5.066
_cell_length_b 5.066
_cell_length_c 5.066
_cell_angle_alpha 60.00
_cell_angle_beta 60.00
_cell_angle_gamma 60.00
_symmetry_space_group_name_H-M 'P 1'
_symmetry_Int_Tables_number 1
loop_
_symmetry_equiv_pos_as_xyz
'x,y,z'
loop_
_atom_site_label
_atom_site_type_symbol
_atom_site_fract_x
_atom_site_fract_y
_atom_site_fract_z
_atom_site_occupancy
Cd1 Cd 0.750 0.750 0.750 1
Au1 Au 0.500 0.500 0.500 1
Pb1 Pb 0.250 0.250 0.250 1
Ga1 Ga 0.000 0.000 0.000 1
# - E_form: 0.08 eV per atom
# - VASP energy: -2.65 eV/atom

---

Entry 10:
# PSe2Br (PBE-GGA, relaxed)
data_PSe2Br
_chemical_formula_sum 'P1 Se2 Br1'
_cell_length_a 3.931
_cell_length_b 3.931
_cell_length_c 7.842
_cell_angle_alpha 90.00
_cell_angle_beta 90.00
_cell_angle_gamma 90.00
_symmetry_space_group_name_H-M 'P 1'
_symmetry_Int_Tables_number 1
loop_
_symmetry_equiv_pos_as_xyz
'x,y,z'
loop_
_atom_site_label
_atom_site_type_symbol
_atom_site_fract_x
_atom_site_fract_y
_atom_site_fract_z
_atom_site_occupancy
Br1 Br 0.000 0.000 0.556 1
Se1 Se 0.000 0.000 0.855 1
Se2 Se 0.500 0.500 0.178 1
P1 P 0.500 0.500 0.911 1
# - Raw formation energy: 0.1262 eV per atom
# - VASP energy: -3.39 eV/atom

---

Entry 11:
# VZn2Sb2 (PBE-GGA, relaxed)
data_VZn2Sb2
_chemical_formula_sum 'V2 Zn4 Sb4'
_cell_length_a 7.143
_cell_length_b 7.143
_cell_length_c 4.011
_cell_angle_alpha 90.00
_cell_angle_beta 90.00
_cell_angle_gamma 90.00
_symmetry_space_group_name_H-M 'P 1'
_symmetry_Int_Tables_number 1
loop_
_symmetry_equiv_pos_as_xyz
'x,y,z'
loop_
_atom_site_label
_atom_site_type_symbol
_atom_site_fract_x
_atom_site_fract_y
_atom_site_fract_z
_atom_site_occupancy
V1 V 0.500 0.500 0.000 1
V2 V 0.000 0.000 0.000 1
Sb1 Sb 0.839 0.661 0.000 1
Sb2 Sb 0.661 0.161 0.000 1
Sb3 Sb 0.161 0.339 0.000 1
Sb4 Sb 0.339 0.839 0.000 1
Zn1 Zn 0.646 0.854 0.500 1
Zn2 Zn 0.146 0.646 0.500 1
Zn3 Zn 0.854 0.354 0.500 1
Zn4 Zn 0.354 0.146 0.500 1
# - Raw formation energy: 0.3093 eV per atom
# - VASP energy: -3.67 eV/atom

---

Entry 12:
# Mg2TaP (PBE-GGA, relaxed)
data_Mg2TaP
_chemical_formula_sum 'Mg4 Ta2 P2'
_cell_length_a 7.821
_cell_length_b 7.821
_cell_length_c 6.070
_cell_angle_alpha 49.89
_cell_angle_beta 49.89
_cell_angle_gamma 90.00
_symmetry_space_group_name_H-M 'P 1'
_symmetry_Int_Tables_number 1
loop_
_symmetry_equiv_pos_as_xyz
'x,y,z'
loop_
_atom_site_label
_atom_site_type_symbol
_atom_site_fract_x
_atom_site_fract_y
_atom_site_fract_z
_atom_site_occupancy
Ta1 Ta 0.000 0.000 0.000 1
Ta2 Ta 0.750 0.250 0.500 1
Mg1 Mg 0.375 0.437 0.750 1
Mg2 Mg 0.875 0.813 0.750 1
Mg3 Mg 0.563 0.125 0.250 1
Mg4 Mg 0.187 0.625 0.250 1
P1 P 0.250 0.750 0.500 1
P2 P 0.500 0.500 0.000 1
# - E_form: 0.21 eV per atom
# - VASP energy: -4.90 eV/atom